Here is a crystal of LiY3 relaxed with PBEsol from the Alexandria database. Energies are from SCAN.

Cell and atoms, written as CIF:
```
data_LiY3
_cell_length_a 3.5001
_cell_length_b 3.5001
_cell_length_c 11.0054
_cell_angle_alpha 90.00
_cell_angle_beta 90.00
_cell_angle_gamma 120.00
_symmetry_space_group_name_H-M 'P -6 m 2'
_symmetry_Int_Tables_number 187
_symmetry_space_group_name_Hall 'P -6 2'
loop_
_atom_site_label
_atom_site_type_symbol
_atom_site_fract_x
_atom_site_fract_y
_atom_site_fract_z
_atom_site_occupancy
Li1 Li 0.0000 0.0000 0.0000 1
Y1 Y 0.0000 0.0000 0.5000 1
Y2 Y 0.3333 0.6667 0.2450 1
```

## Properties
For the density of states at the Fermi level, the calculation gives 1.0280 states/eV/atom. The density is 3892 kg/m3. For the energy relative to the elements, the calculation gives 101 meV per atom.